# Sm12Er6Cd PBE relaxed
# Space-group type   R-3 (148)
# Calculated formation energy   0.10 eV per atom
# Final energy   -4.37 eV/atom
data_Sm12Er6Cd
_chemical_formula_sum 'Sm12 Er6 Cd1'
_cell_length_a 8.540
_cell_length_b 8.540
_cell_length_c 8.540
_cell_angle_alpha 88.89
_cell_angle_beta 88.89
_cell_angle_gamma 88.89
_space_group_name_H-M_alt 'P 1'
_space_group_IT_number 1
_space_group_name_Hall 'P 1'
loop_
_atom_site_label
_atom_site_type_symbol
_atom_site_fract_x
_atom_site_fract_y
_atom_site_fract_z
Sm1 Sm 0.784 0.538 0.432
Sm2 Sm 0.432 0.784 0.538
Sm3 Sm 0.538 0.432 0.784
Sm4 Sm 0.216 0.462 0.568
Sm5 Sm 0.568 0.216 0.462
Sm6 Sm 0.462 0.568 0.216
Sm7 Sm 0.017 0.178 0.365
Sm8 Sm 0.822 0.635 0.983
Sm9 Sm 0.635 0.983 0.822
Sm10 Sm 0.983 0.822 0.635
Sm11 Sm 0.178 0.365 0.017
Sm12 Sm 0.365 0.017 0.178
Er1 Er 0.741 0.900 0.284
Er2 Er 0.716 0.259 0.100
Er3 Er 0.100 0.716 0.259
Er4 Er 0.259 0.100 0.716
Er5 Er 0.284 0.741 0.900
Er6 Er 0.900 0.284 0.741
Cd1 Cd 0.000 0.000 0.000

=====

# Zr3IBr7 PBE relaxed
# Space-group type   P3m1 (156)
# Final energy   -4.83 eV/atom
data_Zr3IBr7
_chemical_formula_sum 'Zr3 I1 Br7'
_cell_length_a 7.586
_cell_length_b 7.553
_cell_length_c 7.553
_cell_angle_alpha 120.00
_cell_angle_beta 90.00
_cell_angle_gamma 90.00
_space_group_name_H-M_alt 'P 1'
_space_group_IT_number 1
_space_group_name_Hall 'P 1'
loop_
_atom_site_label
_atom_site_type_symbol
_atom_site_fract_x
_atom_site_fract_y
_atom_site_fract_z
Zr1 Zr 0.781 0.477 0.523
Zr2 Zr 0.781 0.477 0.954
Zr3 Zr 0.781 0.046 0.523
I1 I 0.486 0.333 0.667
Br1 Br 0.010 0.167 0.833
Br2 Br 0.010 0.167 0.334
Br3 Br 0.982 0.667 0.333
Br4 Br 0.591 0.834 0.166
Br5 Br 0.591 0.332 0.166
Br6 Br 0.591 0.834 0.668
Br7 Br 0.010 0.666 0.833

=====

# Cu2O3 PBE relaxed
# Space-group type   Fdd2 (43)
# Final energy   -5.01 eV/atom
data_Cu2O3
_chemical_formula_sum 'Cu4 O6'
_cell_length_a 7.712
_cell_length_b 6.245
_cell_length_c 5.169
_cell_angle_alpha 84.44
_cell_angle_beta 53.71
_cell_angle_gamma 41.85
_space_group_name_H-M_alt 'P 1'
_space_group_IT_number 1
_space_group_name_Hall 'P 1'
loop_
_atom_site_label
_atom_site_type_symbol
_atom_site_fract_x
_atom_site_fract_y
_atom_site_fract_z
Cu1 Cu 0.418 0.177 0.814
Cu2 Cu 0.073 0.832 0.658
Cu3 Cu 0.436 0.658 0.832
Cu4 Cu 0.592 0.814 0.177
O1 O 0.828 0.672 0.672
O2 O 0.941 0.722 0.025
O3 O 0.528 0.309 0.938
O4 O 0.578 0.422 0.422
O5 O 0.225 0.938 0.309
O6 O 0.312 0.025 0.722